1.
DFT (PBE) results for crystalline PrMg2 at its relaxed geometry.

Computed properties:
For the total energy, the calculation gives -15.7 eV per cell.

a b c (Å): 5.7932 5.7932 5.5316
angles (deg): 90.00 90.00 63.72
With the nearest neighbours (Å) after each atom.
Positions (direct):
Pr (0.1746, 0.8254, 0.7500)  10 Mg 3.31-3.58, 2 Pr 3.49
Pr (0.8254, 0.1746, 0.2500)  10 Mg 3.31-3.58, 2 Pr 3.49
Mg (0.1839, 0.4881, 0.2500)  7 Mg 3.23-3.49, 5 Pr 3.31-3.58
Mg (0.4881, 0.1839, 0.7500)  7 Mg 3.23-3.49, 5 Pr 3.31-3.58
Mg (0.5119, 0.8161, 0.2500)  7 Mg 3.23-3.49, 5 Pr 3.31-3.58
Mg (0.8161, 0.5119, 0.7500)  7 Mg 3.23-3.49, 5 Pr 3.31-3.58

2.
DFT (PBE) results for crystalline HfTlAgTeSe2 at its relaxed geometry.

Computed properties:
The calculation puts the energy above the most stable polymorph in this dataset at 0.069 eV per atom.

a b c (Å): 7.8059 7.8059 10.9328
angles (deg): 90.00 90.00 150.70
With the nearest neighbours (Å) after each atom.
Positions (direct):
Hf (0.0000, 0.0000, 0.0000)  4 Se 2.73, 2 Te 3.00
Hf (0.0000, 0.0000, 0.5000)  4 Se 2.73, 2 Te 3.00
Tl (0.2312, 0.7688, 0.7500)  2 Ag 3.38, 2 Te 3.45, 4 Se 3.49
Tl (0.7688, 0.2312, 0.2500)  2 Ag 3.38, 2 Te 3.45, 4 Se 3.49
Ag (0.4505, 0.5495, 0.2500)  2 Se 2.60, 2 Te 2.79
Ag (0.5495, 0.4505, 0.7500)  2 Se 2.60, 2 Te 2.79
Te (0.0815, 0.9185, 0.2500)  2 Ag 2.79, 2 Hf 3.00
Te (0.9185, 0.0815, 0.7500)  2 Ag 2.79, 2 Hf 3.00
Se (0.3780, 0.6220, 0.0342)  1 Ag 2.60, 2 Hf 2.73
Se (0.3780, 0.6220, 0.4658)  1 Ag 2.60, 2 Hf 2.73
Se (0.6220, 0.3780, 0.5342)  1 Ag 2.60, 2 Hf 2.73
Se (0.6220, 0.3780, 0.9658)  1 Ag 2.60, 2 Hf 2.73

3.
DFT (PBE) results for crystalline Ho3Er3CuTe2 at its relaxed geometry.

Computed properties:
The calculation puts the energy above the most stable polymorph in this dataset at 0.000 eV per atom.

a b c (Å): 8.3610 8.3610 3.9089
angles (deg): 90.00 90.00 120.00
With the nearest neighbours (Å) after each atom.
Positions (direct):
Ho (0.0000, 0.5979, 0.0000)  4 Te 3.21, 1 Cu 3.36, 6 Er 3.52-3.55
Ho (0.4021, 0.4021, 0.0000)  4 Te 3.21, 1 Cu 3.36, 6 Er 3.52-3.55
Ho (0.5979, 0.0000, 0.0000)  4 Te 3.21, 1 Cu 3.36, 6 Er 3.52-3.55
Er (0.0000, 0.2432, 0.5000)  2 Cu 2.82
Er (0.2432, 0.0000, 0.5000)  2 Cu 2.82
Er (0.7568, 0.7568, 0.5000)  2 Cu 2.82
Cu (0.0000, 0.0000, 0.0000)  6 Er 2.82
Te (0.3333, 0.6667, 0.5000)  6 Ho 3.21, 3 Er 3.23
Te (0.6667, 0.3333, 0.5000)  6 Ho 3.21, 3 Er 3.23

4.
DFT (PBE) results for crystalline Na4Zn2InSn at its relaxed geometry.

Computed properties:
For the total energy, the calculation gives -15.2 eV per cell.

a b c (Å): 4.9967 4.9967 7.1241
angles (deg): 90.00 90.00 90.00
With the nearest neighbours (Å) after each atom.
Positions (direct):
Na (0.0000, 0.0000, 0.0000)  4 Zn 3.05, 4 Na 3.06
Na (0.0000, 0.5000, 0.2481)  2 In 3.06, 4 Na 3.06-3.08, 2 Sn 3.08
Na (0.5000, 0.0000, 0.7519)  2 In 3.06, 4 Na 3.06-3.08, 2 Sn 3.08
Na (0.5000, 0.5000, 0.5000)  4 Na 3.08, 4 Zn 3.08
Zn (0.0000, 0.5000, 0.7540)  2 In 3.05, 4 Na 3.05-3.08, 2 Sn 3.08
Zn (0.5000, 0.0000, 0.2460)  2 In 3.05, 4 Na 3.05-3.08, 2 Sn 3.08
In (0.5000, 0.5000, 0.0000)  4 Zn 3.05, 4 Na 3.06
Sn (0.0000, 0.0000, 0.5000)  4 Na 3.08, 4 Zn 3.08

5.
DFT (PBE) results for crystalline NaSrTaNi at its relaxed geometry.

Computed properties:
The calculation puts the energy above the most stable polymorph in this dataset at 0.381 eV per atom.

a b c (Å): 5.1593 5.1593 5.1593
angles (deg): 60.00 60.00 60.00
With the nearest neighbours (Å) after each atom.
Positions (direct):
Na (0.0000, 0.0000, 0.0000)  4 Ta 3.16, 4 Ni 3.16
Sr (0.5000, 0.5000, 0.5000)  4 Ta 3.16, 4 Ni 3.16
Ta (0.2500, 0.2500, 0.2500)  4 Na 3.16, 4 Sr 3.16
Ni (0.7500, 0.7500, 0.7500)  4 Na 3.16, 4 Sr 3.16

6.
DFT (PBE) results for crystalline Y2Au at its relaxed geometry.

Computed properties:
As for the energy of formation from the pure elements: 919 meV/atom.

a b c (Å): 8.8498 8.8498 8.8498
angles (deg): 60.00 60.00 60.00
With the nearest neighbours (Å) after each atom.
Positions (direct):
Y (0.0000, 0.0000, 0.0000)  2 Au 2.71
Y (0.0000, 0.0000, 0.5000)  2 Au 2.71
Y (0.0000, 0.5000, 0.0000)  2 Au 2.71
Y (0.5000, 0.0000, 0.0000)  2 Au 2.71
Au (0.1250, 0.1250, 0.1250)  4 Y 2.71
Au (0.8750, 0.8750, 0.8750)  4 Y 2.71